An optimized crystal structure of GeBS4, computed with GGA-PBE.

a b c (Å): 6.0279 6.0279 9.0775
angles (deg): 78.75 78.75 74.65
With the nearest neighbours (Å) after each atom.
Positions (direct):
S 0.8273 0.1933 0.9479  1 Ge 2.24
S 0.3763 0.0561 0.6856  1 B 1.76
S 0.8067 0.1727 0.5521  1 Ge 2.24
S 0.9439 0.6237 0.8144  1 B 1.76
S 0.1933 0.8273 0.4479  1 Ge 2.24
S 0.6237 0.9439 0.3144  1 B 1.76
S 0.1727 0.8067 0.0521  1 Ge 2.24
S 0.0561 0.3763 0.1856  1 B 1.76
B 0.5000 0.0000 0.5000  2 S 1.76
B 0.0000 0.5000 0.0000  2 S 1.76
Ge 0.0061 0.9939 0.2500  4 S 2.24-2.35
Ge 0.9939 0.0061 0.7500  4 S 2.24-2.35

Output
Space-group type = C2/c
Volume = 154.18 Å³/f.u.
DFT total energy = -54.178 eV per cell
Spin magnetization = 2.0 Bohr magnetons per cell
DOS(E_F) = 1.94 states/eV per cell

---

An optimized crystal structure of GeBS2, computed with GGA-PBE.

a b c (Å): 7.8724 7.8724 7.8724
angles (deg): 22.52 22.52 22.52
With the nearest neighbours (Å) after each atom.
Positions (direct):
Ge 0.0000 0.0000 0.0000  2 S 2.66
S 0.1154 0.1154 0.1154  3 B 2.13
S 0.8846 0.8846 0.8846  3 B 2.13
B 0.5000 0.5000 0.5000  6 S 2.13

Output
Space-group type = R-3m
Volume = 62.76 Å³/f.u.
DFT total energy = -18.330 eV per cell
Spin magnetization = 0.0 Bohr magnetons per cell
DOS(E_F) = 1.67 states/eV per cell
Energy above the lowest structure with this stoichiometry = 15.0 kJ/mol of atoms

---

An optimized crystal structure of GeB2S6, computed with GGA-PBE.

a b c (Å): 5.6992 8.1158 8.1158
angles (deg): 85.48 73.90 73.90
With the nearest neighbours (Å) after each atom.
Positions (direct):
S 0.5973 0.0070 0.8012  1 B 1.89
S 0.1445 0.1524 0.5493  1 B 1.94
S 0.8555 0.8476 0.4507  1 B 1.94
S 0.3434 0.7624 0.6237  2 B 1.92-1.95
S 0.0973 0.8012 0.0070  1 B 1.89
S 0.6566 0.2376 0.3763  2 B 1.92-1.95
S 0.4027 0.9930 0.1988  1 B 1.89
S 0.6445 0.5493 0.1524  1 B 1.94
S 0.3555 0.4507 0.8476  1 B 1.94
S 0.8434 0.6237 0.7624  2 B 1.92-1.95
S 0.9027 0.1988 0.9930  1 B 1.89
S 0.1566 0.3763 0.2376  2 B 1.92-1.95
B 0.1264 0.6703 0.8162  4 S 1.89-1.95
B 0.3736 0.1838 0.3297  4 S 1.89-1.95
B 0.6264 0.8162 0.6703  4 S 1.89-1.95
B 0.8736 0.3297 0.1838  4 S 1.89-1.95
Ge 0.2500 0.2165 0.7835  4 S 2.25-2.28
Ge 0.7500 0.7835 0.2165  4 S 2.25-2.28

Output
Space-group type = C2/c
Volume = 173.26 Å³/f.u.
DFT total energy = -87.506 eV per cell
Spin magnetization = 0.0 Bohr magnetons per cell
DOS(E_F) = 6.80 states/eV per cell

---

An optimized crystal structure of Ge2BS, computed with GGA-PBE.

a b c (Å): 4.4373 4.4373 4.4373
angles (deg): 60.00 60.00 60.00
With the nearest neighbours (Å) after each atom.
Positions (direct):
Ge 0.2500 0.2500 0.2500  4 S 2.72, 4 B 2.72
Ge 0.7500 0.7500 0.7500  4 S 2.72, 4 B 2.72
B 0.0000 0.0000 0.0000  8 Ge 2.72
S 0.5000 0.5000 0.5000  8 Ge 2.72

Output
Space-group type = Fm-3m
Volume = 61.78 Å³/f.u.
DFT total energy = -16.076 eV per cell
Spin magnetization = 0.0 Bohr magnetons per cell
DOS(E_F) = 1.85 states/eV per cell
Energy above the lowest structure with this stoichiometry = 77.5 kJ/mol of atoms

---

An optimized crystal structure of Ge2BS, computed with GGA-PBE.

a b c (Å): 5.3601 5.3601 6.2426
angles (deg): 64.58 64.58 90.00
With the nearest neighbours (Å) after each atom.
Positions (direct):
S 0.0000 0.0000 0.0000  4 Ge 2.51
S 0.7500 0.2500 0.5000  4 Ge 2.51
B 0.2500 0.7500 0.5000  4 Ge 2.06
B 0.5000 0.5000 0.0000  4 Ge 2.06
Ge 0.5525 0.1250 0.2500  2 B 2.06
Ge 0.8750 0.8025 0.7500  2 B 2.06
Ge 0.1975 0.6250 0.2500  2 B 2.06
Ge 0.3750 0.4475 0.7500  2 B 2.06

Output
Space-group type = I-42d
Volume = 71.26 Å³/f.u.
DFT total energy = -38.574 eV per cell
Spin magnetization = 0.0 Bohr magnetons per cell
DOS(E_F) = 4.32 states/eV per cell
Energy above the lowest structure with this stoichiometry = 0.0 kJ/mol of atoms

---

An optimized crystal structure of GeB3S, computed with GGA-PBE.

a b c (Å): 3.8611 3.8611 3.8611
angles (deg): 90.00 90.00 90.00
With the nearest neighbours (Å) after each atom.
Positions (direct):
B 0.0000 0.0000 0.5000  2 S 1.93
B 0.0000 0.5000 0.0000  2 S 1.93
B 0.5000 0.0000 0.0000  2 S 1.93
Ge 0.5000 0.5000 0.5000  12 B 2.73
S 0.0000 0.0000 0.0000  6 B 1.93

Output
Space-group type = Pm-3m
Volume = 57.56 Å³/f.u.
DFT total energy = -20.517 eV per cell
Spin magnetization = 0.0 Bohr magnetons per cell
DOS(E_F) = 2.41 states/eV per cell
Energy above the lowest structure with this stoichiometry = 0.0 kJ/mol of atoms